# 1
The following is a DFT calculation (PBE) of an optimized crystal structure of PbAu.

Results
N(E_F)	0.922	states/eV/atom
uncorrected energy	-0.122	Ha/atom
DFT formation energy	0.1712	eV per atom

abc: 7.3029 7.3029 7.3029
angles: 90.00 90.00 90.00
Closest atoms and distances in Å follow each position.
Space group Fd-3m (No. 227, origin choice 2)
Inequivalent atoms, fractional coordinates:
Pb: 0.1250 0.1250 0.1250  4 Pb 3.16, 4 Au 3.16
Au: 0.1250 0.1250 0.6250  4 Pb 3.16, 4 Au 3.16

# 2
The following is a DFT calculation (PBE) of an optimized crystal structure of MnAg4S5.

Results
N(E_F)	0.349	states/eV/atom
uncorrected energy	-0.154	Ha/atom
energy relative to the elements, uncorrected	-0.07	eV per atom

abc: 7.7983 7.7983 6.4595
angles: 90.00 90.00 90.00
Closest atoms and distances in Å follow each position.
Space group I4 (No. 79)
Inequivalent atoms, fractional coordinates:
Mn: 0.0000 0.0000 0.0000  5 S 2.23-2.30
Ag: 0.0928 0.2961 0.4984  5 S 2.58-2.74
S: 0.0000 0.0000 0.6543  1 Mn 2.23
S: 0.0877 0.2709 0.0926  1 Mn 2.30

# 3
The following is a DFT calculation (PBE) of an optimized crystal structure of LiLaTe2N.

Results
N(E_F)	0.676	states/eV/atom
uncorrected energy	-0.162	Ha/atom
energy above the lowest structure with this stoichiometry	0.000	eV/atom
energy relative to the elements, uncorrected	-0.11	eV per atom

abc: 5.3818 5.3818 4.1231
angles: 90.00 90.00 90.00
Closest atoms and distances in Å follow each position.
Space group P4/mmm (No. 123)
Inequivalent atoms, fractional coordinates:
Li: 0.0000 0.0000 0.0000  2 N 2.06
La: 0.5000 0.5000 0.5000  8 Te 3.39
Te: 0.0000 0.5000 0.0000  2 Li 2.69
N: 0.0000 0.0000 0.5000  2 Li 2.06

# 4
The following is a DFT calculation (PBE) of an optimized crystal structure of LiTaW2.

Results
N(E_F)	1.051	states/eV/atom
uncorrected energy	-0.352	Ha/atom
energy above the lowest structure with this stoichiometry	0.081	eV/atom
DFT formation energy	0.3330	eV per atom

abc: 5.4891 9.2315 2.6880
angles: 90.00 109.08 90.00
Closest atoms and distances in Å follow each position.
Space group C2/m (No. 12)
Inequivalent atoms, fractional coordinates:
Li: 0.0000 0.0000 0.0000  2 Li 2.69, 2 Ta 2.74, 4 W 2.79
Ta: 0.0000 0.5000 0.0000  2 Ta 2.69, 2 Li 2.74, 4 W 2.79
W: 0.2500 0.2500 0.5000  4 W 2.69-2.74, 2 Ta 2.79, 2 Li 2.79

Looking at calculated volume for the records above, in order, we have 389, 393, 119, 129 Å³ per cell.